# 1
# Rb2Hg2Se2S (PBE, optimized geometry)
data_Rb2Hg2Se2S
_cell_length_a 4.464
_cell_length_b 7.781
_cell_length_c 8.609
_cell_angle_alpha 56.39
_cell_angle_beta 90.00
_cell_angle_gamma 73.34
_symmetry_space_group_name_H-M 'P 1'
_symmetry_Int_Tables_number 1
_symmetry_space_group_name_Hall 'P 1'
loop_
_atom_site_label
_atom_site_type_symbol
_atom_site_fract_x
_atom_site_fract_y
_atom_site_fract_z
Hg1 Hg 0.802 0.395 0.705
Se1 Se 0.821 0.358 0.380
Rb1 Rb 0.553 0.894 0.788
Se2 Se 0.179 0.642 0.620
S1 S 0.000 0.000 0.000
Hg2 Hg 0.198 0.605 0.295
Rb2 Rb 0.447 0.106 0.212
# - space-group type = C2/m, No. 12

# 2
# Rb2Si2HgS6 (PBE, optimized geometry)
data_Rb2Si2HgS6
_cell_length_a 7.039
_cell_length_b 7.039
_cell_length_c 8.733
_cell_angle_alpha 66.23
_cell_angle_beta 66.23
_cell_angle_gamma 60.00
_symmetry_space_group_name_H-M 'P 1'
_symmetry_Int_Tables_number 1
_symmetry_space_group_name_Hall 'P 1'
loop_
_atom_site_label
_atom_site_type_symbol
_atom_site_fract_x
_atom_site_fract_y
_atom_site_fract_z
S1 S 0.751 0.247 0.252
Rb1 Rb 0.219 0.219 0.344
Rb2 Rb 0.781 0.781 0.656
Si1 Si 0.588 0.588 0.235
S2 S 0.249 0.249 0.748
S3 S 0.249 0.753 0.748
S4 S 0.247 0.751 0.252
S5 S 0.753 0.249 0.748
Si2 Si 0.412 0.412 0.765
S6 S 0.751 0.751 0.252
Hg1 Hg 0.000 0.000 0.000
# - space-group type = R-3m, No. 166
# - Fermi-level density of states (states/eV per atom) = 0.180

# 3
# RbSiHg2S4 (PBE, optimized geometry)
data_RbSiHg2S4
_cell_length_a 7.019
_cell_length_b 7.019
_cell_length_c 6.516
_cell_angle_alpha 121.83
_cell_angle_beta 121.83
_cell_angle_gamma 91.20
_symmetry_space_group_name_H-M 'P 1'
_symmetry_Int_Tables_number 1
_symmetry_space_group_name_Hall 'P 1'
loop_
_atom_site_label
_atom_site_type_symbol
_atom_site_fract_x
_atom_site_fract_y
_atom_site_fract_z
S1 S 0.170 0.170 0.705
S2 S 0.808 0.448 0.256
Rb1 Rb 0.996 0.996 0.993
Si1 Si 0.497 0.497 0.993
S3 S 0.535 0.535 0.705
S4 S 0.448 0.808 0.256
Hg1 Hg 0.773 0.273 0.546
Hg2 Hg 0.273 0.773 0.546
# - space-group type = Fmm2, No. 42
# - Fermi-level density of states (states/eV per atom) = 0.318

Calculated values (eV/f.u.) of ΔE_f (raw) for the records, taken in order: -4.48 -6.77 -4.19.